{
  "formula": "PrCoSe2O8",
  "functional": "PBE+U",
  "state": "optimized geometry",
  "lattice_angstrom": [[-4.769, 0.427, -2.846], [0.844, -4.342, 3.384], [-2.787, 3.509, 5.197]],
  "species": ["Se", "Se", "Co", "Pr", "O", "O", "O", "O", "O", "O", "O", "O"],
  "fractional_positions": [[0.333, 0.667, 0.732], [0.667, 0.333, 0.268], [0.000, 0.000, 0.000], [0.000, 0.000, 0.500], [0.843, 0.157, 0.209], [0.667, 0.333, 0.513], [0.315, 0.157, 0.209], [0.333, 0.667, 0.487], [0.157, 0.315, 0.791], [0.843, 0.685, 0.209], [0.685, 0.843, 0.791], [0.157, 0.843, 0.791]],
  "e_tot_ev_per_atom": -5.899
}